#i
Material: ErBePd
Method: DFT, GGA-PBE
State: optimized geometry

a b c (Å): 4.2734 4.2734 4.2734
angles (deg): 60.00 60.00 60.00
With the nearest neighbours (Å) after each atom.
Positions (direct):
Pd  0.7500  0.7500  0.7500  4 Be 2.62
Er  0.2500  0.2500  0.2500  4 Be 2.62
Be  0.0000  0.0000  0.0000  4 Er 2.62, 4 Pd 2.62

Calculated values
* space-group type: No. 216

=====

#ii
Material: ErBePd
Method: DFT, GGA-PBE
State: optimized geometry

a b c (Å): 4.4119 4.4119 4.4119
angles (deg): 60.00 60.00 60.00
With the nearest neighbours (Å) after each atom.
Positions (direct):
Be  0.7500  0.7500  0.7500  4 Pd 2.70
Er  0.2500  0.2500  0.2500  4 Pd 2.70
Pd  0.0000  0.0000  0.0000  4 Er 2.70, 4 Be 2.70

Calculated values
* space-group type: No. 216

=====

It is #ii that is most stable; the runner-up trails by 0.026 eV/atom.

=====

#i
Material: ErBeW
Method: DFT, GGA-PBE
State: optimized geometry

a b c (Å): 4.2654 4.2654 4.2654
angles (deg): 60.00 60.00 60.00
With the nearest neighbours (Å) after each atom.
Positions (direct):
W  0.7500  0.7500  0.7500  4 Be 2.61
Be  0.0000  0.0000  0.0000  4 W 2.61, 4 Er 2.61
Er  0.2500  0.2500  0.2500  4 Be 2.61

Calculated values
* space-group type: No. 216

=====

#ii
Material: ErBeW
Method: DFT, GGA-PBE
State: optimized geometry

a b c (Å): 4.5287 4.5287 4.5287
angles (deg): 60.00 60.00 60.00
With the nearest neighbours (Å) after each atom.
Positions (direct):
W  0.7500  0.7500  0.7500  4 Er 2.77
Er  0.0000  0.0000  0.0000  4 W 2.77, 4 Be 2.77
Be  0.2500  0.2500  0.2500  4 Er 2.77

Calculated values
* space-group type: No. 216

=====

It is #i that is most stable; the runner-up trails by 1.065 eV/atom.

=====

#i
Material: Be2Fe3
Method: DFT, GGA-PBE
State: optimized geometry

a b c (Å): 5.7819 5.7819 2.8671
angles (deg): 90.00 90.00 90.00
With the nearest neighbours (Å) after each atom.
Positions (direct):
Fe  0.1721  0.6721  0.5000  6 Be 2.19-2.26
Be  0.3743  0.8743  0.0000  1 Be 2.06, 8 Fe 2.19-2.28
Fe  0.8279  0.3279  0.5000  6 Be 2.19-2.26
Fe  0.0000  0.0000  0.0000  4 Be 2.28
Fe  0.6721  0.8279  0.5000  6 Be 2.19-2.26
Fe  0.3279  0.1721  0.5000  6 Be 2.19-2.26
Be  0.6257  0.1257  0.0000  1 Be 2.06, 8 Fe 2.19-2.28
Be  0.8743  0.6257  0.0000  1 Be 2.06, 8 Fe 2.19-2.28
Be  0.1257  0.3743  0.0000  1 Be 2.06, 8 Fe 2.19-2.28
Fe  0.5000  0.5000  0.0000  4 Be 2.28

Calculated values
* space-group type: No. 127

=====

#ii
Material: Be2Fe3
Method: DFT, GGA-PBE
State: optimized geometry

a b c (Å): 4.7479 4.7479 5.8319
angles (deg): 114.02 65.98 120.00
With the nearest neighbours (Å) after each atom.
Positions (direct):
Be  0.6903  0.3097  0.9292  1 Be 1.84
Fe  0.2465  0.7465  0.7500  2 Be 2.15, 4 Fe 2.37
Fe  0.2500  0.2465  0.2500  2 Be 2.15, 4 Fe 2.37
Fe  0.2535  0.2500  0.7500  2 Be 2.15, 4 Fe 2.37
Be  0.8097  0.1903  0.5708  1 Be 1.84
Fe  0.7535  0.2535  0.2500  2 Be 2.15, 4 Fe 2.37
Fe  0.7465  0.7500  0.2500  2 Be 2.15, 4 Fe 2.37
Fe  0.7500  0.7535  0.7500  2 Be 2.15, 4 Fe 2.37
Be  0.1903  0.8097  0.4292  1 Be 1.84
Be  0.3097  0.6903  0.0708  1 Be 1.84

Calculated values
* space-group type: No. 167

=====

It is #i that is most stable; the runner-up trails by 0.358 eV/atom.

=====

#i
Material: Be2Fe
Method: DFT, GGA-PBE
State: optimized geometry

a b c (Å): 5.6430 5.6430 2.1639
angles (deg): 90.00 90.00 90.00
With the nearest neighbours (Å) after each atom.
Positions (direct):
Fe  0.0000  0.0000  0.0000  6 Be 2.06-2.21, 2 Fe 2.16
Be  0.2416  0.7584  0.5000  3 Fe 2.06-2.21, 2 Be 2.16
Be  0.7416  0.7416  0.0000  3 Fe 2.06-2.21, 2 Be 2.16
Be  0.2584  0.2584  0.0000  3 Fe 2.06-2.21, 2 Be 2.16
Be  0.7584  0.2416  0.5000  3 Fe 2.06-2.21, 2 Be 2.16
Fe  0.5000  0.5000  0.5000  6 Be 2.06-2.21, 2 Fe 2.16

Calculated values
* space-group type: No. 136

=====

#ii
Material: Be2Fe
Method: DFT, GGA-PBE
State: optimized geometry

a b c (Å): 6.7288 6.7288 6.7288
angles (deg): 60.00 60.00 60.00
With the nearest neighbours (Å) after each atom.
Positions (direct):
Fe  0.0000  0.0000  0.0000  4 Be 2.06
Be  0.8750  0.3750  0.8750  2 Fe 2.06
Be  0.8750  0.8750  0.8750  2 Fe 2.06
Fe  0.7500  0.7500  0.7500  4 Be 2.06
Be  0.3750  0.8750  0.8750  2 Fe 2.06
Be  0.8750  0.8750  0.3750  2 Fe 2.06

Calculated values
* space-group type: No. 227

=====

It is #i that is most stable; the runner-up trails by 1.785 eV/atom.